## LiLuGaAu (PBE)

Data for a relaxed LiLuGaAu crystal.

The structure in POSCAR format:
```
LiLuGaAu
1.0
0.000 3.361 3.361
3.361 0.000 3.361
3.361 3.361 0.000
Li Lu Ga Au
1 1 1 1
Direct
0.000 0.000 0.000 Li
0.500 0.500 0.500 Lu
0.250 0.250 0.250 Ga
0.750 0.750 0.750 Au
```

Values from the calculation:
Formation energy in kcal/mol of atoms: -13.36